{"formula": "AcLaZn", "functional": "PBE", "state": "relaxed", "e_form_kcal_per_mol_atoms": -0.79, "e_above_lowest_polymorph_ev_per_fu": 0.421, "n_ef_per_ev_cell": 15.590, "m_tot_mub_per_atom": 0.00, "sg": "No. 12", "lattice_angstrom": [[12.295, 0.000, 0.000], [0.000, 3.904, 0.000], [-2.611, 0.000, 8.633]], "species": ["Ac", "Ac", "Ac", "Ac", "La", "La", "La", "La", "Zn", "Zn", "Zn", "Zn"], "frac_coords": [[0.118, 0.000, 0.338], [0.382, 0.500, 0.662], [0.618, 0.500, 0.338], [0.882, 0.000, 0.662], [0.123, 0.500, 0.954], [0.377, 0.000, 0.046], [0.623, 0.000, 0.954], [0.877, 0.500, 0.046], [0.179, 0.000, 0.714], [0.321, 0.500, 0.286], [0.679, 0.500, 0.714], [0.821, 0.000, 0.286]]}

{"formula": "EuEr2Tl", "functional": "PBE", "state": "relaxed", "e_form_kcal_per_mol_atoms": 0.05, "e_above_lowest_polymorph_ev_per_fu": 0.524, "n_ef_per_ev_cell": 23.308, "m_tot_mub_per_atom": 1.90, "sg": "No. 225", "lattice_angstrom": [[7.763, 0.000, 0.000], [0.000, 7.763, 0.000], [0.000, 0.000, 7.763]], "species": ["Eu", "Eu", "Eu", "Eu", "Er", "Er", "Er", "Er", "Er", "Er", "Er", "Er", "Tl", "Tl", "Tl", "Tl"], "frac_coords": [[0.000, 0.000, 0.000], [0.000, 0.500, 0.500], [0.500, 0.000, 0.500], [0.500, 0.500, 0.000], [0.250, 0.250, 0.250], [0.250, 0.250, 0.750], [0.250, 0.750, 0.250], [0.250, 0.750, 0.750], [0.750, 0.250, 0.250], [0.750, 0.250, 0.750], [0.750, 0.750, 0.250], [0.750, 0.750, 0.750], [0.000, 0.000, 0.500], [0.000, 0.500, 0.000], [0.500, 0.000, 0.000], [0.500, 0.500, 0.500]]}

{"formula": "PrTmHg", "functional": "PBE", "state": "relaxed", "e_form_kcal_per_mol_atoms": -7.66, "e_above_lowest_polymorph_ev_per_fu": 0.000, "n_ef_per_ev_cell": 10.041, "m_tot_mub_per_atom": 0.00, "sg": "No. 62", "lattice_angstrom": [[7.550, 0.000, 0.000], [0.000, 5.056, 0.000], [0.000, 0.000, 9.242]], "species": ["Pr", "Pr", "Pr", "Pr", "Tm", "Tm", "Tm", "Tm", "Hg", "Hg", "Hg", "Hg"], "frac_coords": [[0.016, 0.250, 0.185], [0.484, 0.750, 0.685], [0.516, 0.250, 0.315], [0.984, 0.750, 0.815], [0.157, 0.250, 0.573], [0.343, 0.750, 0.073], [0.657, 0.250, 0.927], [0.843, 0.750, 0.427], [0.241, 0.750, 0.393], [0.259, 0.250, 0.893], [0.741, 0.750, 0.107], [0.759, 0.250, 0.607]]}

{"formula": "KLi2I2Cl", "functional": "PBE", "state": "relaxed", "n_ef_per_ev_cell": 0.000, "final_energy_ev_per_atom": -3.11, "m_tot_mub_per_atom": 0.00, "sg": "No. 11", "lattice_angstrom": [[7.689, 0.000, 0.000], [0.000, 6.155, 0.000], [-3.219, 0.000, 9.653]], "species": ["K", "K", "Li", "Li", "Li", "Li", "I", "I", "I", "I", "Cl", "Cl"], "frac_coords": [[0.173, 0.250, 0.423], [0.827, 0.750, 0.577], [0.371, 0.001, 0.853], [0.371, 0.499, 0.853], [0.629, 0.501, 0.147], [0.629, 0.999, 0.147], [0.059, 0.250, 0.747], [0.397, 0.750, 0.635], [0.603, 0.250, 0.365], [0.941, 0.750, 0.253], [0.391, 0.750, 0.035], [0.609, 0.250, 0.965]]}

{"formula": "Fe3CoGe6", "functional": "PBE", "state": "relaxed", "e_form_kcal_per_mol_atoms": 0.47, "n_ef_per_ev_cell": 11.926, "m_tot_mub_per_atom": 0.39, "sg": "No. 14", "lattice_angstrom": [[6.333, 0.000, 0.000], [0.000, 5.928, 0.000], [-5.094, 0.000, 7.850]], "species": ["Fe", "Fe", "Fe", "Fe", "Fe", "Fe", "Co", "Co", "Ge", "Ge", "Ge", "Ge", "Ge", "Ge", "Ge", "Ge", "Ge", "Ge", "Ge", "Ge"], "frac_coords": [[0.000, 0.000, 0.000], [0.000, 0.500, 0.500], [0.205, 0.190, 0.737], [0.205, 0.310, 0.237], [0.795, 0.690, 0.763], [0.795, 0.810, 0.263], [0.500, 0.000, 0.500], [0.500, 0.500, 0.000], [0.102, 0.133, 0.435], [0.102, 0.367, 0.935], [0.260, 0.664, 0.405], [0.260, 0.836, 0.905], [0.431, 0.519, 0.731], [0.431, 0.981, 0.231], [0.569, 0.019, 0.769], [0.569, 0.481, 0.269], [0.740, 0.164, 0.095], [0.740, 0.336, 0.595], [0.898, 0.633, 0.065], [0.898, 0.867, 0.565]]}

{"formula": "SrCuN2O", "functional": "PBE", "state": "relaxed", "n_ef_per_ev_cell": 5.825, "final_energy_ev_per_atom": -5.23, "m_tot_mub_per_atom": 0.00, "sg": "No. 123", "lattice_angstrom": [[3.795, 0.000, 0.000], [0.000, 3.795, 0.000], [0.000, 0.000, 4.246]], "species": ["Sr", "Cu", "N", "N", "O"], "frac_coords": [[0.000, 0.000, 0.000], [0.500, 0.500, 0.500], [0.000, 0.500, 0.500], [0.500, 0.000, 0.500], [0.500, 0.500, 0.000]]}

Please write out number 3 again, unchanged.
{"formula": "PrTmHg", "functional": "PBE", "state": "relaxed", "e_form_kcal_per_mol_atoms": -7.66, "e_above_lowest_polymorph_ev_per_fu": 0.000, "n_ef_per_ev_cell": 10.041, "m_tot_mub_per_atom": 0.00, "sg": "No. 62", "lattice_angstrom": [[7.550, 0.000, 0.000], [0.000, 5.056, 0.000], [0.000, 0.000, 9.242]], "species": ["Pr", "Pr", "Pr", "Pr", "Tm", "Tm", "Tm", "Tm", "Hg", "Hg", "Hg", "Hg"], "frac_coords": [[0.016, 0.250, 0.185], [0.484, 0.750, 0.685], [0.516, 0.250, 0.315], [0.984, 0.750, 0.815], [0.157, 0.250, 0.573], [0.343, 0.750, 0.073], [0.657, 0.250, 0.927], [0.843, 0.750, 0.427], [0.241, 0.750, 0.393], [0.259, 0.250, 0.893], [0.741, 0.750, 0.107], [0.759, 0.250, 0.607]]}

Please write out number 6 again, unchanged.
{"formula": "SrCuN2O", "functional": "PBE", "state": "relaxed", "n_ef_per_ev_cell": 5.825, "final_energy_ev_per_atom": -5.23, "m_tot_mub_per_atom": 0.00, "sg": "No. 123", "lattice_angstrom": [[3.795, 0.000, 0.000], [0.000, 3.795, 0.000], [0.000, 0.000, 4.246]], "species": ["Sr", "Cu", "N", "N", "O"], "frac_coords": [[0.000, 0.000, 0.000], [0.500, 0.500, 0.500], [0.000, 0.500, 0.500], [0.500, 0.000, 0.500], [0.500, 0.500, 0.000]]}